1.
Below is MgPdOF2 at its PBEsol-relaxed geometry, with properties calculated at the meta-GGA SCAN level.

a b c (Å): 4.090 4.090 4.054
angles (deg): 90.00 90.00 90.00
Space group P4/mmm (No. 123)
Unique sites:
Mg1 0.000 0.000 0.000 x1
Pd1 0.500 0.500 0.500 x1
O1 0.500 0.500 0.000 x1
F1 0.000 0.500 0.500 x2

Properties
E above lowest polymorph   57.28 kJ/mol of atoms
Magnetic moment   0.0 μB/f.u.
N(E_F)   1.023 states/eV/cell
Total DFT energy (no corrections)   -11.423 eV/atom
Raw formation energy   -6.1 eV per formula unit
Crystal system   tetragonal

2.
Below is MgPdOF2 at its PBEsol-relaxed geometry, with properties calculated at the meta-GGA SCAN level.

a b c (Å): 3.651 3.651 4.252
angles (deg): 90.00 90.00 90.00
Space group P4/mmm (No. 123)
Unique sites:
Mg1 0.000 0.000 0.000 x1
Pd1 0.500 0.500 0.500 x1
O1 0.000 0.000 0.500 x1
F1 0.000 0.500 0.000 x2

Properties
E above lowest polymorph   0.00 kJ/mol of atoms
Magnetic moment   1.8 μB/f.u.
N(E_F)   1.045 states/eV/cell
Total DFT energy (no corrections)   -12.017 eV/atom
Raw formation energy   -9.0 eV per formula unit
Crystal system   tetragonal

3.
Below is MgRhO2F at its PBEsol-relaxed geometry, with properties calculated at the meta-GGA SCAN level.

a b c (Å): 3.885 3.885 4.039
angles (deg): 90.00 90.00 90.00
Space group P4/mmm (No. 123)
Unique sites:
Mg1 0.000 0.000 0.000 x1
Rh1 0.500 0.500 0.500 x1
O1 0.000 0.500 0.500 x2
F1 0.500 0.500 0.000 x1

Properties
Magnetic moment   0.6 μB/f.u.
N(E_F)   1.961 states/eV/cell
Total DFT energy (no corrections)   -12.142 eV/atom
Raw formation energy   -6.0 eV per formula unit
Crystal system   tetragonal

4.
Below is Mg3SiO4F2 at its PBEsol-relaxed geometry, with properties calculated at the meta-GGA SCAN level.

a b c (Å): 10.283 8.746 4.722
angles (deg): 90.00 90.00 90.00
Space group Pnma (No. 62)
Unique sites:
Mg1 0.093 0.250 0.006 x4
Mg2 0.133 0.570 0.510 x8
Si1 0.220 0.750 0.080 x4
O1 0.074 0.750 0.222 x4
O2 0.208 0.103 0.733 x8
O3 0.221 0.750 0.736 x4
F1 0.033 0.085 0.273 x8

Properties
Magnetic moment   0.0 μB/f.u.
N(E_F)   0.000 states/eV/cell
Total DFT energy (no corrections)   -9.030 eV/atom
Raw formation energy   -33.4 eV per formula unit
Crystal system   orthorhombic

Number 1: mass density 4.5 Mg/m³. Number 2: mass density 5.4 Mg/m³. Number 3: mass density 4.9 Mg/m³. Number 4: mass density 3.2 Mg/m³.